Computed, not measured: crystalline LiPu2Sb at its relaxed geometry at the PBE level of DFT.

Geometry as CIF:
```
data_LiPu2Sb
_space_group_name_H-M_alt 'P 4/m m m'
_space_group_IT_number 123
_space_group_name_Hall '-P 4 2'
_cell_length_a 3.632
_cell_length_b 3.632
_cell_length_c 5.284
_cell_angle_alpha 90.00
_cell_angle_beta 90.00
_cell_angle_gamma 90.00
loop_
_atom_site_label
_atom_site_fract_x
_atom_site_fract_y
_atom_site_fract_z
_atom_site_occupancy
Li1 0.000 0.000 0.000 1
Pu1 0.000 0.500 0.500 1
Sb1 0.500 0.500 0.000 1
```

Summary:
The calculation puts the formation energy from raw total energies at 58 kJ/mol of formula units. Its total magnetization is 1.4 μB per formula unit. The energy above the most stable polymorph in this dataset comes out at 0.3221 eV per atom.


Computed, not measured: crystalline LiCaTeSeF at its relaxed geometry at the PBE level of DFT.

Geometry as CIF:
```
data_LiCaTeSeF
_space_group_name_H-M_alt 'C 1 m 1'
_space_group_IT_number 8
_cell_length_a 13.654
_cell_length_b 3.735
_cell_length_c 5.981
_cell_angle_alpha 90.00
_cell_angle_beta 110.47
_cell_angle_gamma 90.00
loop_
_space_group_symop_operation_xyz
'x,y,z'
'x,-y,z'
'x+1/2,y+1/2,z'
'x+1/2,-y+1/2,z'
loop_
_atom_site_label
_atom_site_fract_x
_atom_site_fract_y
_atom_site_fract_z
_atom_site_occupancy
Li1 0.000 0.000 0.000 1
Ca1 0.245 0.500 0.175 1
Te1 0.407 0.000 0.589 1
Se1 0.392 0.000 0.076 1
F1 0.144 0.000 0.109 1
```

Summary:
The calculation puts the formation energy from raw total energies at -835 kJ/mol of formula units. Its total magnetization is 0.0 μB per formula unit. The energy above the most stable polymorph in this dataset comes out at 0.0308 eV per atom.


Computed, not measured: crystalline CaLa6Ho5 at its relaxed geometry at the PBE level of DFT.

Geometry as CIF:
```
data_CaLa6Ho5
_space_group_name_H-M_alt 'C 1 2/m 1'
_space_group_IT_number 12
_cell_length_a 11.998
_cell_length_b 11.032
_cell_length_c 6.350
_cell_angle_alpha 90.00
_cell_angle_beta 100.25
_cell_angle_gamma 90.00
loop_
_space_group_symop_operation_xyz
'x,y,z'
'-x,-y,-z'
'-x,y,-z'
'x,-y,z'
'x+1/2,y+1/2,z'
'-x+1/2,-y+1/2,-z'
'-x+1/2,y+1/2,-z'
'x+1/2,-y+1/2,z'
loop_
_atom_site_label
_atom_site_fract_x
_atom_site_fract_y
_atom_site_fract_z
_atom_site_occupancy
Ca1 0.000 0.000 0.000 1
La1 0.247 0.329 0.749 1
La2 0.248 0.500 0.258 1
Ho1 0.000 0.172 0.500 1
Ho2 0.000 0.337 0.000 1
Ho3 0.000 0.500 0.500 1
```

Summary:
Its total magnetization is 0.0 μB per formula unit. The value obtained for the formation energy is 0.031 eV per atom.


Computed, not measured: crystalline Rb2InW2 at its relaxed geometry at the PBE level of DFT.

Geometry as CIF:
```
data_Rb2InW2
_space_group_name_H-M_alt 'P 4/m b m'
_space_group_IT_number 127
_space_group_name_Hall '-P 4 2ab'
_cell_length_a 10.820
_cell_length_b 10.820
_cell_length_c 2.945
_cell_angle_alpha 90.00
_cell_angle_beta 90.00
_cell_angle_gamma 90.00
loop_
_atom_site_label
_atom_site_fract_x
_atom_site_fract_y
_atom_site_fract_z
_atom_site_occupancy
Rb1 0.210 0.290 0.000 1
In1 0.000 0.000 0.000 1
W1 0.073 0.573 0.500 1
```

Summary:
Its total magnetization is 0.0 μB per formula unit. The value obtained for the formation energy is 1.540 eV per atom. The energy above the most stable polymorph in this dataset comes out at 0.5338 eV per atom.


Computed, not measured: crystalline Er2Zn5Ni2Rh at its relaxed geometry at the PBE level of DFT.

Geometry as CIF:
```
data_Er2Zn5Ni2Rh
_space_group_name_H-M_alt 'P 4/m b m'
_space_group_IT_number 127
_space_group_name_Hall '-P 4 2ab'
_cell_length_a 9.010
_cell_length_b 9.010
_cell_length_c 3.981
_cell_angle_alpha 90.00
_cell_angle_beta 90.00
_cell_angle_gamma 90.00
loop_
_atom_site_label
_atom_site_fract_x
_atom_site_fract_y
_atom_site_fract_z
_atom_site_occupancy
Er1 0.182 0.318 0.000 1
Zn1 0.000 0.500 0.500 1
Zn2 0.058 0.798 0.500 1
Ni1 0.113 0.613 0.000 1
Rh1 0.000 0.000 0.000 1
```

Summary:
Its total magnetization is 0.0 μB per formula unit. The value obtained for the formation energy is -0.393 eV per atom.


Computed, not measured: crystalline SmEr3Ag2 at its relaxed geometry at the PBE level of DFT.

Geometry as CIF:
```
data_SmEr3Ag2
_space_group_name_H-M_alt 'P 4/m m m'
_space_group_IT_number 123
_space_group_name_Hall '-P 4 2'
_cell_length_a 3.600
_cell_length_b 3.600
_cell_length_c 12.266
_cell_angle_alpha 90.00
_cell_angle_beta 90.00
_cell_angle_gamma 90.00
loop_
_atom_site_label
_atom_site_fract_x
_atom_site_fract_y
_atom_site_fract_z
_atom_site_occupancy
Sm1 0.000 0.000 0.000 1
Er1 0.500 0.500 0.206 1
Er2 0.500 0.500 0.500 1
Ag1 0.000 0.000 0.352 1
```

Summary:
Its total magnetization is 0.0 μB per formula unit. The value obtained for the formation energy is -0.206 eV per atom. The energy above the most stable polymorph in this dataset comes out at 0.0000 eV per atom.


Computed, not measured: crystalline KHg12 at its relaxed geometry at the PBE level of DFT.

Geometry as CIF:
```
data_KHg12
_space_group_name_H-M_alt 'P m -3 m'
_space_group_IT_number 221
_space_group_name_Hall '-P 4 2 3'
_cell_length_a 8.525
_cell_length_b 8.525
_cell_length_c 8.525
_cell_angle_alpha 90.00
_cell_angle_beta 90.00
_cell_angle_gamma 90.00
loop_
_atom_site_label
_atom_site_fract_x
_atom_site_fract_y
_atom_site_fract_z
_atom_site_occupancy
K1 0.000 0.000 0.000 1
Hg1 0.000 0.250 0.500 1
```

Summary:
Its total magnetization is 0.0 μB per formula unit. The value obtained for the formation energy is 0.061 eV per atom. The energy above the most stable polymorph in this dataset comes out at 0.0165 eV per atom.